(1)
The following is a DFT calculation (PBE-GGA) of crystalline Tl3BSb at its relaxed geometry.

Output
Uncorrected formation energy (eV/atom): 0.589
Energy relative to the lowest polymorph listed for this composition (kJ per mole of atoms): 0.0
Crystal system: cubic

Unit cell a=5.024 b=5.024 c=5.024 alpha=90.00 beta=90.00 gamma=90.00
Space group Pm-3m (No. 221)
Asymmetric unit:
Tl 0.000 0.000 0.500 x3
B 0.000 0.000 0.000 x1
Sb 0.500 0.500 0.500 x1

=====

(2)
The following is a DFT calculation (PBE-GGA) of crystalline ZrTa2S4 at its relaxed geometry.

Output
Uncorrected formation energy (eV/atom): -0.083
Crystal system: tetragonal

Unit cell a=4.963 b=4.963 c=12.229 alpha=90.00 beta=90.00 gamma=90.00
Space group I4/mmm (No. 139)
Asymmetric unit:
Zr 0.000 0.000 0.000 x2
Ta 0.000 0.000 0.397 x4
S 0.000 0.000 0.206 x4
S 0.000 0.500 0.000 x4

=====

(3)
The following is a DFT calculation (PBE-GGA) of crystalline LiIn3 at its relaxed geometry.

Output
Crystal system: tetragonal

Unit cell a=4.528 b=4.528 c=9.244 alpha=90.00 beta=90.00 gamma=90.00
Space group I4/mmm (No. 139)
Asymmetric unit:
Li 0.000 0.000 0.000 x2
In 0.000 0.000 0.500 x2
In 0.000 0.500 0.250 x4

=====

(4)
The following is a DFT calculation (PBE-GGA) of crystalline Rb2MnZnCl6 at its relaxed geometry.

Output
Uncorrected formation energy (eV/atom): -1.437
Energy relative to the lowest polymorph listed for this composition (kJ per mole of atoms): 0.0
Crystal system: trigonal

Unit cell a=7.1332 b=7.1332 c=17.4666 alpha=90.00 beta=90.00 gamma=120.00
Space group R-3 (No. 148, hexagonal axes)
Asymmetric unit:
Rb 0.0000 0.0000 0.2500 x6
Mn 0.0000 0.0000 0.0000 x3
Zn 0.0000 0.0000 0.5000 x3
Cl 0.0026 0.5054 0.2495 x18

=====

(5)
The following is a DFT calculation (PBE-GGA) of crystalline ReMo2Pd at its relaxed geometry.

Output
Energy relative to the lowest polymorph listed for this composition (kJ per mole of atoms): 20.4
Crystal system: cubic

Unit cell a=6.300 b=6.300 c=6.300 alpha=90.00 beta=90.00 gamma=90.00
Space group Fm-3m (No. 225)
Asymmetric unit:
Re 0.000 0.000 0.000 x4
Mo 0.250 0.250 0.250 x8
Pd 0.000 0.000 0.500 x4

=====

(6)
The following is a DFT calculation (PBE-GGA) of crystalline CsKRbHg at its relaxed geometry.

Output
Energy relative to the lowest polymorph listed for this composition (kJ per mole of atoms): 1.9
Crystal system: cubic

Unit cell a=10.050 b=10.050 c=10.050 alpha=90.00 beta=90.00 gamma=90.00
Space group F-43m (No. 216)
Asymmetric unit:
Cs 0.000 0.000 0.000 x4
K 0.250 0.250 0.750 x4
Rb 0.000 0.000 0.500 x4
Hg 0.250 0.250 0.250 x4

=====

(7)
The following is a DFT calculation (PBE-GGA) of crystalline MgTa2ReSb at its relaxed geometry.

Output
Uncorrected formation energy (eV/atom): 1.921
Crystal system: tetragonal

Unit cell a=4.761 b=4.761 c=4.561 alpha=90.00 beta=90.00 gamma=90.00
Space group P4/mmm (No. 123)
Asymmetric unit:
Mg 0.000 0.000 0.000 x1
Ta 0.000 0.500 0.000 x2
Re 0.000 0.000 0.500 x1
Sb 0.500 0.500 0.500 x1

=====

(8)
The following is a DFT calculation (PBE-GGA) of crystalline Tm2Mg3Tl4 at its relaxed geometry.

Output
Crystal system: orthorhombic

Unit cell a=6.497 b=16.536 c=8.468 alpha=90.00 beta=90.00 gamma=90.00
Space group Cmce (No. 64)
Asymmetric unit:
Tm 0.000 0.105 0.088 x8
Mg 0.000 0.000 0.500 x4
Mg 0.250 0.225 0.750 x8
Tl 0.000 0.177 0.463 x8
Tl 0.250 0.050 0.750 x8

=====

Number 1: final energy -2.991 eV per atom, calculated density 9.76 g cm⁻³. Number 2: final energy -7.049 eV per atom, calculated density 6.41 g cm⁻³. Number 3: final energy -2.663 eV per atom, calculated density 6.16 g cm⁻³. Number 4: final energy -3.782 eV per atom, calculated density 3.26 g cm⁻³. Number 5: final energy -9.561 eV per atom, calculated density 12.87 g cm⁻³. Number 6: final energy -0.856 eV per atom, calculated density 3.00 g cm⁻³. Number 7: final energy -6.453 eV per atom, calculated density 11.15 g cm⁻³. Number 8: final energy -2.684 eV per atom, calculated density 8.97 g cm⁻³.